[1]
The following is a PBE-GGA calculation of a geometry-optimized Ba3Nb2O9 structure, from Alexandria.

a = 5.9401 Å, b = 5.9401 Å, c = 7.4841 Å
α = 90.00°, β = 90.00°, γ = 120.00°
Space group P-3m1 (No. 164)
Symmetry-distinct sites (fractional):
Ba 0.0000 0.0000 0.0000 [1 per cell]
Ba 0.3333 0.6667 0.3523 [2 per cell]
Nb 0.3333 0.6667 0.8318 [2 per cell]
O 0.0000 0.5000 0.0000 [3 per cell]
O 0.1770 0.3539 0.6918 [6 per cell]

Results
Total magnetic moment   2.11 μB per cell

***

[2]
The following is a PBE-GGA calculation of a geometry-optimized BaNb2O6 structure, from Alexandria.

a = 4.009 Å, b = 6.135 Å, c = 10.694 Å
α = 90.00°, β = 90.34°, γ = 90.00°
Space group P2_1/c (No. 14)
Symmetry-distinct sites (fractional):
Ba 0.000 0.000 0.000 [2 per cell]
Nb 0.467 0.044 0.350 [4 per cell]
O 0.002 0.584 0.150 [4 per cell]
O 0.497 0.618 0.698 [4 per cell]
O 0.497 0.700 0.963 [4 per cell]

Results
Total magnetic moment   0.00 μB per cell

***

[3]
The following is a PBE-GGA calculation of a geometry-optimized BaNbO2 structure, from Alexandria.

a = 3.7817 Å, b = 3.7817 Å, c = 20.2185 Å
α = 90.00°, β = 90.00°, γ = 120.00°
Space group R-3m (No. 166, hexagonal axes)
Symmetry-distinct sites (fractional):
Ba 0.0000 0.0000 0.0000 [3 per cell]
Nb 0.0000 0.0000 0.5000 [3 per cell]
O 0.0000 0.0000 0.4053 [6 per cell]

Results
Total magnetic moment   0.00 μB per cell

***

[4]
The following is a PBE-GGA calculation of a geometry-optimized Ba4Nb3O12 structure, from Alexandria.

a = 5.9174 Å, b = 5.9174 Å, c = 19.4731 Å
α = 90.00°, β = 90.00°, γ = 120.00°
Space group P6_3mc (No. 186)
Symmetry-distinct sites (fractional):
Ba 0.0000 0.0000 0.0000 [2 per cell]
Ba 0.3333 0.6667 0.1373 [2 per cell]
Ba 0.3333 0.6667 0.3621 [2 per cell]
Ba 0.3333 0.6667 0.7371 [2 per cell]
Nb 0.0000 0.0000 0.2950 [2 per cell]
Nb 0.3333 0.6667 0.5570 [2 per cell]
Nb 0.3333 0.6667 0.9284 [2 per cell]
O 0.0047 0.5024 0.9853 [6 per cell]
O 0.1635 0.3269 0.2505 [6 per cell]
O 0.1699 0.3398 0.8683 [6 per cell]
O 0.1759 0.3518 0.6070 [6 per cell]

Results
Total magnetic moment   1.55 μB per cell

***

[5]
The following is a PBE-GGA calculation of a geometry-optimized BaNb4O8 structure, from Alexandria.

a = 14.712 Å, b = 3.086 Å, c = 10.401 Å
α = 90.00°, β = 134.91°, γ = 90.00°
Space group C2/m (No. 12)
Symmetry-distinct sites (fractional):
Ba 0.000 0.000 0.000 [2 per cell]
Nb 0.162 0.000 0.487 [4 per cell]
Nb 0.175 0.500 0.837 [4 per cell]
O 0.040 0.000 0.707 [4 per cell]
O 0.130 0.500 0.311 [4 per cell]
O 0.165 0.500 0.625 [4 per cell]
O 0.181 0.500 0.052 [4 per cell]

Results
Total magnetic moment   0.00 μB per cell

***

[6]
The following is a PBE-GGA calculation of a geometry-optimized BaNb4O11 structure, from Alexandria.

a = 6.4293 Å, b = 6.4293 Å, c = 12.6274 Å
α = 90.00°, β = 90.00°, γ = 120.00°
Space group P6_322 (No. 182)
Symmetry-distinct sites (fractional):
Ba 0.3333 0.6667 0.2500 [2 per cell]
Nb 0.0000 0.3521 0.5000 [6 per cell]
Nb 0.3333 0.6667 0.7500 [2 per cell]
O 0.0000 0.2394 0.0000 [6 per cell]
O 0.0711 0.4375 0.6519 [12 per cell]
O 0.3333 0.6667 0.0326 [4 per cell]

Results
Total magnetic moment   0.00 μB per cell

***

[7]
The following is a PBE-GGA calculation of a geometry-optimized BaNb8O14 structure, from Alexandria.

a = 13.153 Å, b = 9.660 Å, c = 10.452 Å
α = 90.00°, β = 112.92°, γ = 90.00°
Space group P2_1/c (No. 14)
Symmetry-distinct sites (fractional):
Ba 0.228 0.012 0.383 [4 per cell]
Nb 0.008 0.655 0.581 [4 per cell]
Nb 0.136 0.114 0.729 [4 per cell]
Nb 0.137 0.623 0.390 [4 per cell]
Nb 0.259 0.117 0.044 [4 per cell]
Nb 0.259 0.617 0.215 [4 per cell]
Nb 0.367 0.123 0.857 [4 per cell]
Nb 0.367 0.625 0.511 [4 per cell]
Nb 0.497 0.617 0.838 [4 per cell]
O 0.002 0.244 0.086 [4 per cell]
O 0.009 0.014 0.773 [4 per cell]
O 0.117 0.501 0.553 [4 per cell]
O 0.123 0.239 0.906 [4 per cell]
O 0.131 0.745 0.725 [4 per cell]
O 0.141 0.002 0.574 [4 per cell]
O 0.250 0.747 0.033 [4 per cell]
O 0.252 0.242 0.223 [4 per cell]
O 0.372 0.508 0.691 [4 per cell]
O 0.374 0.245 0.525 [4 per cell]
O 0.378 0.007 0.687 [4 per cell]
O 0.380 0.742 0.857 [4 per cell]
O 0.500 0.000 0.000 [2 per cell]
O 0.500 0.000 0.500 [2 per cell]
O 0.500 0.228 0.820 [4 per cell]

Results
Total magnetic moment   0.00 μB per cell

***

[8]
The following is a PBE-GGA calculation of a geometry-optimized Ba2NbO5 structure, from Alexandria.

a = 6.057 Å, b = 6.057 Å, c = 4.012 Å
α = 90.00°, β = 90.00°, γ = 90.00°
Space group P4/mmm (No. 123)
Symmetry-distinct sites (fractional):
Ba 0.000 0.500 0.000 [2 per cell]
Nb 0.000 0.000 0.500 [1 per cell]
O 0.000 0.000 0.000 [1 per cell]
O 0.233 0.233 0.500 [4 per cell]

Results
Total magnetic moment   1.04 μB per cell

***

[9]
The following is a PBE-GGA calculation of a geometry-optimized BaNb2O6 structure, from Alexandria.

a = 7.999 Å, b = 12.434 Å, c = 10.490 Å
α = 90.00°, β = 90.00°, γ = 90.00°
Space group C222_1 (No. 20)
Symmetry-distinct sites (fractional):
Ba 0.000 0.076 0.250 [4 per cell]
Ba 0.000 0.367 0.750 [4 per cell]
Nb 0.226 0.362 0.072 [8 per cell]
Nb 0.230 0.143 0.922 [8 per cell]
O 0.000 0.379 0.036 [8 per cell]
O 0.002 0.158 0.886 [8 per cell]
O 0.192 0.000 0.500 [4 per cell]
O 0.201 0.000 0.000 [4 per cell]
O 0.216 0.419 0.250 [8 per cell]
O 0.221 0.200 0.391 [8 per cell]
O 0.221 0.203 0.108 [8 per cell]

Results
Total magnetic moment   0.00 μB per cell

***

[10]
The following is a PBE-GGA calculation of a geometry-optimized Ba2NbO6 structure, from Alexandria.

a = 11.719 Å, b = 6.372 Å, c = 3.907 Å
α = 90.00°, β = 99.02°, γ = 90.00°
Space group C2/m (No. 12)
Symmetry-distinct sites (fractional):
Ba 0.167 0.000 0.183 [4 per cell]
Nb 0.000 0.500 0.500 [2 per cell]
O 0.000 0.307 0.000 [4 per cell]
O 0.127 0.288 0.655 [8 per cell]

Results
Total magnetic moment   2.01 μB per cell

***

[11]
The following is a PBE-GGA calculation of a geometry-optimized BaNb7O9 structure, from Alexandria.

a = 4.246 Å, b = 4.246 Å, c = 12.595 Å
α = 90.00°, β = 90.00°, γ = 90.00°
Space group P4/mmm (No. 123)
Symmetry-distinct sites (fractional):
Ba 0.000 0.000 0.000 [1 per cell]
Nb 0.000 0.500 0.329 [4 per cell]
Nb 0.500 0.500 0.168 [2 per cell]
Nb 0.500 0.500 0.500 [1 per cell]
O 0.000 0.000 0.335 [2 per cell]
O 0.000 0.500 0.161 [4 per cell]
O 0.000 0.500 0.500 [2 per cell]
O 0.500 0.500 0.000 [1 per cell]

Results
Total magnetic moment   0.00 μB per cell

***

[12]
The following is a PBE-GGA calculation of a geometry-optimized Ba2Nb3O10 structure, from Alexandria.

a = 19.207 Å, b = 6.154 Å, c = 8.139 Å
α = 90.00°, β = 112.71°, γ = 90.00°
Space group C2/m (No. 12)
Symmetry-distinct sites (fractional):
Ba 0.114 0.000 0.217 [4 per cell]
Ba 0.211 0.000 0.816 [4 per cell]
Nb 0.000 0.244 0.500 [4 per cell]
Nb 0.088 0.500 0.966 [4 per cell]
Nb 0.182 0.500 0.522 [4 per cell]
O 0.000 0.312 0.000 [4 per cell]
O 0.021 0.000 0.673 [4 per cell]
O 0.028 0.500 0.682 [4 per cell]
O 0.105 0.267 0.513 [8 per cell]
O 0.138 0.500 0.239 [4 per cell]
O 0.146 0.259 0.970 [8 per cell]
O 0.233 0.500 0.766 [4 per cell]
O 0.250 0.250 0.500 [4 per cell]

Results
Total magnetic moment   4.21 μB per cell

***

no.,ΔE_f (raw) (eV/atom)
1,-2.436
2,-2.757
3,-1.858
4,-2.696
5,-2.357
6,-2.641
7,-2.422
8,-2.458
9,-2.747
10,-1.931
11,-2.220
12,-2.581